[1]
## YErSi4Ni2 (PBE-GGA)

Data for a relaxed structure of YErSi4Ni2.

Geometry as POSCAR:
```
YErSi4Ni2
1.0
-3.858 0.708 0.514
-0.405 -6.283 5.621
0.474 -3.102 7.835
Ni Si Er Y
2 4 1 1
Direct
0.500 0.823 0.823
0.000 0.178 0.178
0.000 0.751 0.751
0.000 0.040 0.040
0.500 0.960 0.960
0.500 0.250 0.250
0.000 0.394 0.394
0.500 0.605 0.605
```

V in Å³/atom: 16.117
Size of the total moment in μB per formula unit: 0.00
Total DFT energy (no corrections) in eV per cell: -50.5

=====

[2]
## LuAg (PBE-GGA)

Data for a relaxed structure of LuAg.

Geometry as POSCAR:
```
LuAg
1.0
3.381 0.000 0.000
-1.690 2.928 0.000
0.000 0.000 4.660
Lu Ag
1 1
Direct
0.333 0.667 0.250
0.667 0.333 0.750
```

V in Å³/atom: 23.063
Size of the total moment in μB per formula unit: 0.01
Formation energy from the elements in eV/atom: -0.09

=====

[3]
## SmHoPO (PBE-GGA)

Data for a relaxed structure of SmHoPO.

Geometry as POSCAR:
```
SmHoPO
1.0
4.169 0.000 0.000
0.000 7.595 0.000
0.000 0.000 5.551
O P Sm Ho
2 2 2 2
Direct
0.500 0.678 0.906
0.500 0.322 0.406
0.000 0.148 0.937
0.000 0.852 0.437
0.500 0.630 0.471
0.500 0.370 0.971
0.000 0.794 0.940
0.000 0.206 0.440
```

V in Å³/atom: 21.972
Size of the total moment in μB per formula unit: 0.00
Total DFT energy (no corrections) in eV per cell: -55.2

=====

[4]
## BeNbFeGe (PBE-GGA)

Data for a relaxed structure of BeNbFeGe.

Geometry as POSCAR:
```
BeNbFeGe
1.0
0.000 2.981 2.981
2.981 0.000 2.981
2.981 2.981 0.000
Fe Be Nb Ge
1 1 1 1
Direct
0.750 0.750 0.750
0.500 0.500 0.500
0.250 0.250 0.250
0.000 0.000 0.000
```

V in Å³/atom: 13.246
Size of the total moment in μB per formula unit: 2.04
Total DFT energy (no corrections) in eV per cell: -26.3

=====

[5]
## Sr2ZrIr (PBE-GGA)

Data for a relaxed structure of Sr2ZrIr.

Geometry as POSCAR:
```
Sr2ZrIr
1.0
-4.808 -1.430 -1.453
-4.168 2.117 2.326
-3.037 3.341 -2.623
Zr Sr Ir
1 2 1
Direct
0.750 0.750 0.750
0.250 0.250 0.250
0.000 0.000 0.000
0.500 0.500 0.500
```

V in Å³/atom: 25.170
Size of the total moment in μB per formula unit: 0.08
Total DFT energy (no corrections) in eV per cell: -19.3

=====

[6]
## HfCdHg2 (PBE-GGA)

Data for a relaxed structure of HfCdHg2.

Geometry as POSCAR:
```
HfCdHg2
1.0
0.000 3.509 3.509
3.509 0.000 3.509
3.509 3.509 0.000
Cd Hg Hf
1 2 1
Direct
0.500 0.500 0.500
0.000 0.000 0.000
0.250 0.250 0.250
0.750 0.750 0.750
```

V in Å³/atom: 21.599
Size of the total moment in μB per formula unit: 0.00
Formation energy from the elements in eV/atom: 0.21

=====

[7]
## SrCdSO (PBE-GGA)

Data for a relaxed structure of SrCdSO.

Geometry as POSCAR:
```
SrCdSO
1.0
7.410 0.000 0.000
0.000 13.602 0.000
0.000 0.000 6.898
Cd Sr S O
8 8 8 8
Direct
0.251 0.852 0.611
0.249 0.148 0.111
0.749 0.352 0.889
0.249 0.352 0.611
0.251 0.648 0.111
0.751 0.648 0.389
0.751 0.852 0.889
0.749 0.148 0.389
0.749 0.119 0.919
0.249 0.119 0.581
0.251 0.619 0.581
0.749 0.381 0.419
0.751 0.619 0.919
0.751 0.881 0.419
0.249 0.381 0.081
0.251 0.881 0.081
0.998 0.039 0.249
0.502 0.961 0.749
0.002 0.539 0.251
0.498 0.461 0.751
0.498 0.039 0.251
0.998 0.461 0.749
0.502 0.539 0.249
0.002 0.961 0.751
0.253 0.765 0.352
0.247 0.265 0.352
0.753 0.765 0.148
0.253 0.735 0.852
0.247 0.235 0.852
0.753 0.735 0.648
0.747 0.235 0.648
0.747 0.265 0.148
```

V in Å³/atom: 21.729
Total DFT energy (no corrections) in eV per cell: -140.7

=====

[8]
## ScTlAgAu (PBE-GGA)

Data for a relaxed structure of ScTlAgAu.

Geometry as POSCAR:
```
ScTlAgAu
1.0
0.000 3.431 3.431
3.431 0.000 3.431
3.431 3.431 0.000
Sc Tl Au Ag
1 1 1 1
Direct
0.000 0.000 0.000
0.500 0.500 0.500
0.750 0.750 0.750
0.250 0.250 0.250
```

V in Å³/atom: 20.202
Size of the total moment in μB per formula unit: 0.00
Total DFT energy (no corrections) in eV per cell: -16.0

=====

[9]
## HoTmGa2 (PBE-GGA)

Data for a relaxed structure of HoTmGa2.

Geometry as POSCAR:
```
HoTmGa2
1.0
-1.019 -1.459 3.607
5.418 -1.919 0.754
4.925 2.086 2.235
Tm Ga Ho
1 2 1
Direct
0.500 0.639 0.639
0.500 0.923 0.923
0.000 0.077 0.077
0.000 0.361 0.361
```

V in Å³/atom: 23.271
Size of the total moment in μB per formula unit: 0.06
Total DFT energy (no corrections) in eV per cell: -17.6

=====

[10]
## Cu7Ag3 (PBE-GGA)

Data for a relaxed structure of Cu7Ag3.

Geometry as POSCAR:
```
Cu7Ag3
1.0
4.604 0.000 0.000
0.725 4.645 0.000
2.156 1.898 6.439
Cu Ag
7 3
Direct
0.007 0.778 0.906
0.500 0.500 0.000
0.989 0.411 0.704
0.011 0.589 0.296
0.501 0.683 0.606
0.499 0.317 0.394
0.993 0.222 0.094
0.483 0.101 0.798
0.517 0.899 0.202
0.000 0.000 0.500
```

V in Å³/atom: 13.769
Formation energy from the elements in eV/atom: 0.09

=====

[11]
## CsLiPdS3 (PBE-GGA)

Data for a relaxed structure of CsLiPdS3.

Geometry as POSCAR:
```
CsLiPdS3
1.0
-0.243 7.745 -0.299
-3.327 -6.944 -0.918
-3.003 0.252 8.968
Pd S Cs Li
2 6 2 2
Direct
0.000 0.000 0.000
0.000 0.000 0.500
0.599 0.401 0.033
0.938 0.062 0.250
0.401 0.599 0.967
0.599 0.401 0.467
0.401 0.599 0.533
0.062 0.938 0.750
0.755 0.245 0.750
0.245 0.755 0.250
0.520 0.480 0.250
0.480 0.520 0.750
```

V in Å³/atom: 22.831
Total DFT energy (no corrections) in eV per cell: -48.4

=====

[12]
## HfCdIr (PBE-GGA)

Data for a relaxed structure of HfCdIr.

Geometry as POSCAR:
```
HfCdIr
1.0
-0.149 -0.011 4.497
-3.659 -1.527 2.126
0.165 -3.894 2.247
Cd Ir Hf
1 1 1
Direct
0.250 0.250 0.250
0.000 0.000 0.000
0.750 0.750 0.750
```

V in Å³/atom: 21.465
Size of the total moment in μB per formula unit: 0.00
Formation energy from the elements in eV/atom: -0.29